No. 1
A plane-wave DFT calculation with PBEsol was carried out for a relaxed structure of Hf3NbCd.

Cell: 5.031 5.031 5.031 Å, 90.00 90.00 90.00°
Sites, in units of the cell vectors:
Hf (0.000, 0.000, 0.500)
Hf (0.000, 0.500, 0.000)
Hf (0.500, 0.000, 0.000)
Nb (0.500, 0.500, 0.500)
Cd (0.000, 0.000, 0.000)

Properties
energy of formation from the pure elements	1.589	eV per atom
Fermi-level density of states	2.180	states/eV per atom

***

No. 2
A plane-wave DFT calculation with PBEsol was carried out for a relaxed structure of CsPd3Se.

Cell: 5.083 5.083 5.083 Å, 90.00 90.00 90.00°
Sites, in units of the cell vectors:
Cs (0.000, 0.000, 0.000)
Pd (0.000, 0.000, 0.500)
Pd (0.000, 0.500, 0.000)
Pd (0.500, 0.000, 0.000)
Se (0.500, 0.500, 0.500)

Properties
Fermi-level density of states	1.140	states/eV per atom
VASP energy	-3.049	eV/atom

***

No. 3
A plane-wave DFT calculation with PBEsol was carried out for a relaxed structure of Ta2AlCo2.

Cell: 6.786 6.786 3.052 Å, 90.00 90.00 90.00°
Sites, in units of the cell vectors:
Ta (0.171, 0.329, 0.000)
Ta (0.329, 0.829, 0.000)
Ta (0.671, 0.171, 0.000)
Ta (0.829, 0.671, 0.000)
Al (0.000, 0.000, 0.500)
Al (0.500, 0.500, 0.500)
Co (0.128, 0.628, 0.500)
Co (0.372, 0.128, 0.500)
Co (0.628, 0.872, 0.500)
Co (0.872, 0.372, 0.500)

Properties
energy of formation from the pure elements	-0.317	eV per atom
Fermi-level density of states	0.611	states/eV per atom

***

No. 4
A plane-wave DFT calculation with PBEsol was carried out for a relaxed structure of MgZrAu2.

Cell: 4.638 4.638 4.638 Å, 119.83 119.83 90.29°
Sites, in units of the cell vectors:
Mg (0.000, 0.000, 0.000)
Zr (0.750, 0.250, 0.500)
Au (0.250, 0.750, 0.500)
Au (0.500, 0.500, 0.000)

Properties
energy of formation from the pure elements	-0.429	eV per atom
Fermi-level density of states	0.210	states/eV per atom

***

No. 5
A plane-wave DFT calculation with PBEsol was carried out for a relaxed structure of LiMg2Br.

Cell: 5.292 5.292 5.292 Å, 60.00 60.00 60.00°
Sites, in units of the cell vectors:
Li (0.000, 0.000, 0.000)
Mg (0.250, 0.250, 0.250)
Mg (0.750, 0.750, 0.750)
Br (0.500, 0.500, 0.500)

Properties
energy above the most stable polymorph in this dataset	396	meV per atom
Fermi-level density of states	1.293	states/eV per atom

***

No. 6
A plane-wave DFT calculation with PBEsol was carried out for a relaxed structure of Sb3AsF.

Cell: 4.852 4.852 4.852 Å, 90.00 90.00 90.00°
Sites, in units of the cell vectors:
Sb (0.000, 0.000, 0.500)
Sb (0.000, 0.500, 0.000)
Sb (0.500, 0.000, 0.000)
As (0.500, 0.500, 0.500)
F (0.000, 0.000, 0.000)

Properties
Fermi-level density of states	0.725	states/eV per atom
VASP energy	-4.039	eV/atom